Sc3Re | PBE-GGA | relaxed

Cell and atoms, written as POSCAR:
```
Sc3Re
1.0
5.765 0.071 0.025
2.598 5.147 -0.025
-3.639 -3.478 2.810
Sc Re
3 1
Direct
0.000 0.500 0.500
0.290 0.290 0.000
0.710 0.710 0.000
0.500 0.000 0.500
```

Results
space-group type	Immm (71)
ρ	6.454	g/cm3
E	-31.48	eV per cell



ScRe | PBE-GGA | relaxed

Cell and atoms, written as POSCAR:
```
ScRe
1.0
-1.168 2.570 -1.160
-2.480 -1.534 -0.900
-3.669 1.639 7.322
Re Sc
2 2
Direct
0.750 0.750 0.912
0.250 0.250 0.088
0.750 0.750 0.319
0.250 0.250 0.681
```

Results
space-group type	P4/nmm (129)
ρ	9.868	g/cm3
E	-38.07	eV per cell



Sc2Re | PBE-GGA | relaxed

Cell and atoms, written as POSCAR:
```
Sc2Re
1.0
-3.296 2.814 -3.657
-3.068 -2.850 -3.824
-6.178 -0.403 5.257
Sc Re
8 4
Direct
0.358 0.821 0.750
0.000 0.000 0.500
0.179 0.179 0.250
0.000 0.000 0.000
0.821 0.358 0.750
0.821 0.821 0.750
0.642 0.179 0.250
0.179 0.642 0.250
0.667 0.667 0.100
0.333 0.333 0.600
0.333 0.333 0.900
0.667 0.667 0.400
```

Results
space-group type	P6_3/mmc (194)
ρ	8.107	g/cm3
E	-93.97	eV per cell



Sc3Re | PBE-GGA | relaxed

Cell and atoms, written as POSCAR:
```
Sc3Re
1.0
4.624 0.000 0.000
0.000 5.238 0.000
0.000 0.000 6.545
Re Sc
2 6
Direct
0.500 0.713 0.500
0.000 0.287 0.000
0.000 0.808 0.256
0.500 0.657 0.000
0.500 0.192 0.756
0.000 0.808 0.744
0.500 0.192 0.244
0.000 0.343 0.500
```

Results
space-group type	Pmmn (59)
ρ	6.726	g/cm3
E	-62.98	eV per cell